[1]
{"formula": "Tb6PmEr4", "functional": "PBE", "state": "optimized geometry", "ef_ev_per_atom": 0.12, "space_group": "Cmcm, No. 63", "lattice": [[-3.206, 3.415, -3.268], [-0.863, -5.520, 0.070], [-16.615, 2.843, 19.270]], "species": ["Er", "Er", "Er", "Er", "Er", "Er", "Er", "Er", "Tb", "Tb", "Tb", "Tb", "Tb", "Tb", "Tb", "Tb", "Tb", "Tb", "Tb", "Tb", "Pm", "Pm"], "fractional_positions": [[0.154, 0.308, 0.457], [0.464, 0.928, 0.122], [0.154, 0.308, 0.043], [0.846, 0.692, 0.543], [0.464, 0.928, 0.378], [0.846, 0.692, 0.957], [0.536, 0.072, 0.622], [0.536, 0.072, 0.878], [0.804, 0.608, 0.102], [0.865, 0.730, 0.819], [0.196, 0.392, 0.898], [0.804, 0.608, 0.398], [0.500, 0.000, 0.500], [0.469, 0.939, 0.250], [0.531, 0.061, 0.750], [0.135, 0.270, 0.319], [0.135, 0.270, 0.181], [0.196, 0.392, 0.602], [0.500, 0.000, 0.000], [0.865, 0.730, 0.681], [0.804, 0.609, 0.250], [0.196, 0.391, 0.750]]}



[2]
{"formula": "Nb4Mo2Ru3", "functional": "PBE", "state": "optimized geometry", "ef_ev_per_atom": -0.12, "space_group": "P-3m1, No. 164", "lattice": [[-2.537, -3.309, -1.733], [1.598, -4.220, -0.164], [-3.176, -1.496, 7.507]], "species": ["Nb", "Nb", "Nb", "Nb", "Mo", "Mo", "Ru", "Ru", "Ru"], "fractional_positions": [[0.000, 0.000, 0.662], [0.000, 0.000, 0.338], [0.667, 0.666, 0.887], [0.333, 0.334, 0.113], [0.333, 0.334, 0.775], [0.667, 0.666, 0.225], [0.000, 0.000, 0.000], [0.666, 0.667, 0.571], [0.334, 0.333, 0.429]]}



[3]
{"formula": "BaZnHg2Sb", "functional": "PBE", "state": "optimized geometry", "space_group": "P4/mmm, No. 123", "lattice": [[-4.704, 2.231, 0.867], [-2.309, -4.732, -0.353], [0.664, -0.733, 5.488]], "species": ["Hg", "Hg", "Zn", "Ba", "Sb"], "fractional_positions": [[0.500, 0.000, 0.000], [0.000, 0.500, 0.000], [0.000, 0.000, 0.000], [0.500, 0.500, 0.500], [0.000, 0.000, 0.500]]}



[4]
{"formula": "MgUTc", "functional": "PBE", "state": "optimized geometry", "ef_ev_per_atom": 0.25, "space_group": "R-3, No. 148", "lattice": [[-4.393, -4.828, 3.540], [6.155, -4.152, -0.151], [1.773, 4.228, 5.841]], "species": ["U", "U", "U", "U", "U", "U", "Mg", "Mg", "Mg", "Mg", "Mg", "Mg", "Tc", "Tc", "Tc", "Tc", "Tc", "Tc"], "fractional_positions": [[0.507, 0.400, 0.188], [0.400, 0.188, 0.507], [0.493, 0.600, 0.812], [0.188, 0.507, 0.400], [0.812, 0.493, 0.600], [0.600, 0.812, 0.493], [0.984, 0.050, 0.306], [0.016, 0.950, 0.694], [0.306, 0.984, 0.050], [0.050, 0.306, 0.984], [0.694, 0.016, 0.950], [0.950, 0.694, 0.016], [0.132, 0.327, 0.628], [0.327, 0.628, 0.132], [0.628, 0.132, 0.327], [0.673, 0.372, 0.868], [0.868, 0.673, 0.372], [0.372, 0.868, 0.673]]}



[5]
{"formula": "LiSn3B", "functional": "PBE", "state": "optimized geometry", "ef_ev_per_atom": 0.48, "space_group": "Pm-3m, No. 221", "lattice": [[4.917, 0.000, 0.000], [0.000, 4.917, 0.000], [0.000, 0.000, 4.917]], "species": ["Sn", "Sn", "Sn", "B", "Li"], "fractional_positions": [[0.000, 0.500, 0.000], [0.500, 0.000, 0.000], [0.000, 0.000, 0.500], [0.000, 0.000, 0.000], [0.500, 0.500, 0.500]]}



[6]
{"formula": "BiIrS2", "functional": "PBE", "state": "optimized geometry", "space_group": "Pnma, No. 62", "lattice": [[7.753, 0.000, 0.000], [0.000, 3.681, 0.000], [0.000, 0.000, 11.799]], "species": ["S", "S", "S", "S", "S", "S", "S", "S", "Bi", "Bi", "Bi", "Bi", "Ir", "Ir", "Ir", "Ir"], "fractional_positions": [[0.140, 0.750, 0.219], [0.348, 0.250, 0.016], [0.360, 0.250, 0.719], [0.152, 0.750, 0.516], [0.652, 0.750, 0.984], [0.640, 0.750, 0.281], [0.848, 0.250, 0.484], [0.860, 0.250, 0.781], [0.563, 0.750, 0.611], [0.437, 0.250, 0.389], [0.063, 0.750, 0.889], [0.937, 0.250, 0.111], [0.569, 0.250, 0.880], [0.069, 0.250, 0.620], [0.931, 0.750, 0.380], [0.431, 0.750, 0.120]]}



[7]
{"formula": "Hf3Pt5", "functional": "PBE", "state": "optimized geometry", "ef_ev_per_atom": -1.08, "space_group": "Cmcm, No. 63", "lattice": [[-1.168, -4.385, -3.306], [4.814, -1.315, 2.571], [-4.780, -3.951, 6.930]], "species": ["Hf", "Hf", "Hf", "Hf", "Hf", "Hf", "Pt", "Pt", "Pt", "Pt", "Pt", "Pt", "Pt", "Pt", "Pt", "Pt"], "fractional_positions": [[0.399, 0.399, 0.250], [0.208, 0.792, 0.500], [0.208, 0.792, 0.000], [0.792, 0.208, 0.000], [0.601, 0.601, 0.750], [0.792, 0.208, 0.500], [0.046, 0.502, 0.750], [0.000, 0.000, 0.750], [0.695, 0.695, 0.459], [0.695, 0.695, 0.041], [0.305, 0.305, 0.541], [0.498, 0.954, 0.250], [0.305, 0.305, 0.959], [0.502, 0.046, 0.750], [0.000, 0.000, 0.250], [0.954, 0.498, 0.250]]}



[8]
{"formula": "AcMg5Sc4", "functional": "PBE", "state": "optimized geometry", "ef_ev_per_atom": -0.03, "space_group": "P4/mmm, No. 123", "lattice": [[-3.342, -0.128, 1.478], [-0.191, -3.575, -0.741], [7.646, -3.919, 16.951]], "species": ["Ac", "Sc", "Sc", "Sc", "Sc", "Mg", "Mg", "Mg", "Mg", "Mg"], "fractional_positions": [[0.000, 0.000, 0.000], [0.000, 0.000, 0.407], [0.000, 0.000, 0.593], [0.000, 0.000, 0.224], [0.000, 0.000, 0.776], [0.500, 0.500, 0.686], [0.500, 0.500, 0.130], [0.500, 0.500, 0.870], [0.500, 0.500, 0.314], [0.500, 0.500, 0.500]]}



no.,raw total energy (eV per cell),D(E_F) (states/eV/f.u.),magnetic moment (μB per cell)
1,-98.84,20.02,0.00
2,-90.84,9.47,0.00
3,-9.51,2.05,0.00
4,-135.07,4.31,4.52
5,-18.21,2.77,0.00
6,-83.66,1.67,0.00
7,-137.37,5.54,0.00
8,-37.67,13.90,0.00